No. 1
Compound: Ba8Rh3SCl4
Source: Alexandria
Functional: GGA-PBE
Structure: relaxed

## Properties
ρ = 4.70 g/cm³

Unit cell a=9.4166 b=9.4166 c=9.4166 alpha=57.64 beta=57.64 gamma=57.64
Fractional positions:
Ba 0.2294 0.7421 0.7421
Ba 0.2442 0.2442 0.2442
Ba 0.2579 0.2579 0.7706
Ba 0.2579 0.7706 0.2579
Ba 0.7421 0.2294 0.7421
Ba 0.7421 0.7421 0.2294
Ba 0.7558 0.7558 0.7558
Ba 0.7706 0.2579 0.2579
Rh 0.0000 0.0000 0.5000
Rh 0.0000 0.5000 0.0000
Rh 0.5000 0.0000 0.0000
S 0.5000 0.5000 0.5000
Cl 0.0000 0.0000 0.0000
Cl 0.0000 0.5000 0.5000
Cl 0.5000 0.0000 0.5000
Cl 0.5000 0.5000 0.0000

No. 2
Compound: Ba6Rh2SCl3
Source: Alexandria
Functional: GGA-PBE
Structure: relaxed

## Properties
ρ = 4.62 g/cm³

Unit cell a=7.8786 b=7.8786 c=8.2316 alpha=99.17 beta=99.17 gamma=119.99
Fractional positions:
Ba 0.0860 0.4271 0.7811
Ba 0.2317 0.2317 0.2188
Ba 0.4271 0.0860 0.7811
Ba 0.5729 0.9140 0.2189
Ba 0.7683 0.7683 0.7812
Ba 0.9140 0.5729 0.2189
Rh 0.1668 0.8332 0.0000
Rh 0.8332 0.1668 0.0000
S 0.5000 0.5000 0.0000
Cl 0.0000 0.0000 0.5000
Cl 0.3352 0.6648 0.5000
Cl 0.6648 0.3352 0.5000

No. 3
Compound: BaRhS2Cl
Source: Alexandria
Functional: GGA-PBE
Structure: relaxed

## Properties
ΔE to the lowest computed polymorph = 0 meV/atom
ρ = 4.96 g/cm³

Unit cell a=4.7780 b=4.7780 c=4.9810 alpha=90.00 beta=90.00 gamma=90.00
Fractional positions:
Ba 0.0000 0.0000 0.0000
Rh 0.5000 0.5000 0.5000
S 0.0000 0.5000 0.5000
S 0.5000 0.0000 0.5000
Cl 0.5000 0.5000 0.0000

No. 4
Compound: BaRhSCl2
Source: Alexandria
Functional: GGA-PBE
Structure: relaxed

## Properties
ΔE to the lowest computed polymorph = 1191 meV/atom
ρ = 2.66 g/cm³

Unit cell a=5.9048 b=5.9048 c=6.1370 alpha=90.00 beta=90.00 gamma=90.00
Fractional positions:
Ba 0.0000 0.0000 0.0000
Rh 0.5000 0.5000 0.5000
S 0.0000 0.0000 0.5000
Cl 0.0000 0.5000 0.0000
Cl 0.5000 0.0000 0.0000

Number 1: raw formation energy -1.2930 eV per atom. Number 2: raw formation energy -1.3694 eV per atom. Number 3: raw formation energy -0.9923 eV per atom. Number 4: raw formation energy -0.0006 eV per atom.